Here is crystalline CrFe2Re at its relaxed geometry from Alexandria via LeMat-Bulk. Energies are from PBE-GGA.

abc: 2.6136 2.6136 24.8764
angles: 90.00 90.00 120.00
With the nearest neighbours (Å) after each atom.
Space group R-3m (No. 166, hexagonal axes)
Asymmetric unit:
Cr 0.0000 0.0000 0.0000 [3 per cell]  6 Fe 2.49, 6 Cr 2.61
Fe 0.0000 0.0000 0.2537 [6 per cell]  3 Cr 2.49, 6 Fe 2.61, 3 Re 2.64
Re 0.0000 0.0000 0.5000 [3 per cell]  6 Re 2.61, 6 Fe 2.64

=====

Here is crystalline CrFeRe2 at its relaxed geometry from Alexandria via LeMat-Bulk. Energies are from PBE-GGA.

abc: 2.7047 2.7047 25.5934
angles: 90.00 90.00 120.00
With the nearest neighbours (Å) after each atom.
Space group R3m (No. 160, hexagonal axes)
Asymmetric unit:
Cr 0.0000 0.0000 0.0000 [3 per cell]  3 Fe 2.46, 3 Re 2.69, 6 Cr 2.70
Fe 0.0000 0.0000 0.7410 [3 per cell]  3 Cr 2.46, 3 Re 2.67, 6 Fe 2.70
Re 0.0000 0.0000 0.2478 [3 per cell]  3 Cr 2.69, 9 Re 2.70-2.76
Re 0.0000 0.0000 0.4923 [3 per cell]  3 Fe 2.67, 9 Re 2.70-2.76

=====

Fermi-level density of states per entry: 13.958; 13.557 states/eV/cell
Formation energy per entry: 0.226; 0.215 eV per atom
Total magnetization per entry: 4.6; 3.6 μB per cell